Record 1
Below is a geometry-optimized Tb5Ir3 structure, with properties calculated at the PBEsol level.

Its energy above the most stable polymorph in this dataset is 39.8 meV per atom. The calculation puts the formation energy at -0.711 eV per atom. Its size of the total moment is 0.00 μB/cell. As for the crystal system: hexagonal.

The structure belongs to space group P6_3/mcm (No. 193); the cell edges are 8.2211, 8.2211 and 6.1529 Å and the angles 90.00°, 90.00° and 120.00°. The asymmetric unit holds Tb at (0.0000, 0.2585, 0.2500), Tb at (0.3333, 0.6667, 0.0000) and Ir at (0.0000, 0.3911, 0.7500).

***

Record 2
Below is a geometry-optimized Mg2AsPb structure, with properties calculated at the PBEsol level.

Its energy above the most stable polymorph in this dataset is 86.3 meV per atom. The calculation puts the formation energy at -0.148 eV per atom. Its size of the total moment is 0.00 μB/cell. As for the crystal system: orthorhombic.

The structure belongs to space group Immm (No. 71); the cell edges are 3.945, 5.287 and 8.683 Å and the angles 90.00°, 90.00° and 90.00°. The asymmetric unit holds Mg at (0.000, 0.000, 0.220), As at (0.000, 0.500, 0.500) and Pb at (0.000, 0.500, 0.000).

***

Record 3
Below is a geometry-optimized LiTaAs2 structure, with properties calculated at the PBEsol level.

Its energy above the most stable polymorph in this dataset is 291.7 meV per atom. The calculation puts the formation energy at -0.154 eV per atom. Its size of the total moment is 1.33 μB/cell. As for the crystal system: tetragonal.

The structure belongs to space group I4/mmm (No. 139); the cell edges are 4.653, 4.653 and 5.985 Å and the angles 90.00°, 90.00° and 90.00°. The asymmetric unit holds Li at (0.000, 0.000, 0.000), Ta at (0.000, 0.000, 0.500) and As at (0.000, 0.500, 0.250).

***

| no. | energy (eV per atom) |
| --- | --- |
| 1 | -7.53 |
| 2 | -3.28 |
| 3 | -6.34 |